1.
{"formula": "LiMgTc2", "functional": "PBE-GGA", "state": "optimized geometry", "cell": [[2.7265, 0.0001, 0.0000], [-1.1160, 2.4876, 0.0000], [0.0000, 0.0000, 9.4467]], "species": ["Li", "Mg", "Tc", "Tc"], "fractional_positions": [[0.0000, 0.0000, 0.4828], [0.5000, 0.5000, 0.7618], [0.5000, 0.5000, 0.2397], [0.0000, 0.0000, 0.0157]], "formation_energy_ev_per_fu": 0.83, "e_tot_ev_per_cell": -23.411}

2.
{"formula": "LiMgTc2", "functional": "PBE-GGA", "state": "optimized geometry", "cell": [[-0.0364, 2.4313, -0.8675], [-2.4811, 0.2066, 0.6831], [2.4945, 2.9516, 8.1674]], "species": ["Mg", "Tc", "Tc", "Li"], "fractional_positions": [[0.5000, 0.5000, 0.7500], [0.0000, 0.0000, 0.4993], [0.0000, 0.0000, 0.0007], [0.5000, 0.5000, 0.2500]], "formation_energy_ev_per_fu": 1.22, "e_tot_ev_per_cell": -23.023}

3.
{"formula": "LiMgTc2", "functional": "PBE-GGA", "state": "optimized geometry", "cell": [[5.2746, 0.0021, -0.0124], [2.7423, 4.5057, 0.0124], [-3.7030, -2.7971, 2.5071]], "species": ["Tc", "Tc", "Mg", "Li"], "fractional_positions": [[0.0039, 0.0039, 0.0000], [0.4961, 0.4961, 0.0000], [0.7500, 0.2500, 0.5000], [0.2500, 0.7500, 0.5000]], "formation_energy_ev_per_fu": 0.82, "e_tot_ev_per_cell": -23.423}

4.
{"formula": "LiMgTc2", "functional": "PBE-GGA", "state": "optimized geometry", "cell": [[-3.0956, -2.1611, -2.1458], [3.0242, -2.5106, -1.8462], [-0.1936, 0.3500, 4.3241]], "species": ["Tc", "Tc", "Li", "Mg"], "fractional_positions": [[0.0001, 0.0001, 0.0000], [0.2500, 0.7500, 0.5000], [0.4999, 0.4999, 0.0000], [0.7500, 0.2500, 0.5000]], "formation_energy_ev_per_fu": 0.43, "e_tot_ev_per_cell": -23.813}

What did the fourth record say?
{"formula": "LiMgTc2", "functional": "PBE-GGA", "state": "optimized geometry", "cell": [[-3.0956, -2.1611, -2.1458], [3.0242, -2.5106, -1.8462], [-0.1936, 0.3500, 4.3241]], "species": ["Tc", "Tc", "Li", "Mg"], "fractional_positions": [[0.0001, 0.0001, 0.0000], [0.2500, 0.7500, 0.5000], [0.4999, 0.4999, 0.0000], [0.7500, 0.2500, 0.5000]], "formation_energy_ev_per_fu": 0.43, "e_tot_ev_per_cell": -23.813}